Entry 1:
Here is a relaxed TlCo3Cu crystal from Alexandria. Energies are from PBE.

POSCAR file:
```
TlCo3Cu
1.0
4.7781 0.0000 0.0000
0.0000 4.7781 0.0000
0.0000 0.0000 4.7781
Tl Co Cu
1 3 1
direct
0.0000 0.0000 0.0000 Tl
0.0000 0.0000 0.5000 Co
0.0000 0.5000 0.0000 Co
0.5000 0.0000 0.0000 Co
0.5000 0.5000 0.5000 Cu
```

- Formation enthalpy at 0 K: 1.925 eV per atom
- Density of states at the Fermi level: 13.5 states/eV/f.u.
- Polymorph energy (0 for the lowest one): 4.02 eV per formula unit

***

Entry 2:
Here is a relaxed CdRh2Cl crystal from Alexandria. Energies are from PBE.

POSCAR file:
```
CdRh2Cl
1.0
3.0048 0.0000 0.0000
0.0000 3.3553 0.0000
-0.0483 0.0000 7.2489
Cd Rh Cl
1 2 1
direct
0.0000 0.0000 0.0000 Cd
0.4957 0.5000 0.7625 Rh
0.9924 0.0000 0.5778 Rh
0.9875 0.5000 0.3214 Cl
```

- Uncorrected formation energy: 16 meV/atom
- Density of states at the Fermi level: 5.6 states/eV/f.u.
- Polymorph energy (0 for the lowest one): 0.00 eV per formula unit

***

Entry 3:
Here is a relaxed HoMgAlPd crystal from Alexandria. Energies are from PBE.

POSCAR file:
```
HoMgAlPd
1.0
6.8184 0.0000 0.0000
0.0000 6.8184 0.0000
0.0000 0.0000 6.8184
Ho Mg Al Pd
4 4 4 4
direct
0.0000 0.0000 0.0000 Ho
0.0000 0.5000 0.5000 Ho
0.5000 0.0000 0.5000 Ho
0.5000 0.5000 0.0000 Ho
0.0000 0.0000 0.5000 Mg
0.0000 0.5000 0.0000 Mg
0.5000 0.0000 0.0000 Mg
0.5000 0.5000 0.5000 Mg
0.2500 0.2500 0.2500 Al
0.2500 0.7500 0.7500 Al
0.7500 0.2500 0.7500 Al
0.7500 0.7500 0.2500 Al
0.2500 0.2500 0.7500 Pd
0.2500 0.7500 0.2500 Pd
0.7500 0.2500 0.2500 Pd
0.7500 0.7500 0.7500 Pd
```

- Formation enthalpy at 0 K: -0.534 eV per atom
- Density of states at the Fermi level: 1.3 states/eV/f.u.

***

Entry 4:
Here is a relaxed YZn9Ni2 crystal from Alexandria. Energies are from PBE.

POSCAR file:
```
YZn9Ni2
1.0
-5.1879 5.1879 3.3649
5.1879 -5.1879 3.3649
5.1879 5.1879 -3.3649
Y Zn Ni
2 18 4
direct
0.3750 0.6250 0.7500 Y
0.6250 0.3750 0.2500 Y
0.1250 0.8750 0.2500 Zn
0.1371 0.5628 0.3315 Zn
0.1371 0.8056 0.5743 Zn
0.1944 0.2687 0.3315 Zn
0.1944 0.8629 0.9257 Zn
0.2687 0.1944 0.8315 Zn
0.2687 0.4372 0.0743 Zn
0.4372 0.2687 0.5743 Zn
0.4372 0.8629 0.1685 Zn
0.5628 0.1371 0.8315 Zn
0.5628 0.7313 0.4257 Zn
0.7313 0.5628 0.9257 Zn
0.7313 0.8056 0.1685 Zn
0.8056 0.1371 0.0743 Zn
0.8056 0.7313 0.6685 Zn
0.8629 0.1944 0.4257 Zn
0.8629 0.4372 0.6685 Zn
0.8750 0.1250 0.7500 Zn
0.0000 0.0000 0.0000 Ni
0.0000 0.0000 0.5000 Ni
0.0000 0.5000 0.0000 Ni
0.5000 0.0000 0.5000 Ni
```

- Formation enthalpy at 0 K: -0.258 eV per atom
- Density of states at the Fermi level: 8.1 states/eV/f.u.
- Polymorph energy (0 for the lowest one): 0.00 eV per formula unit